A plane-wave DFT calculation with PBE-GGA was carried out for an optimized crystal structure of Be2CoOs.

Cell: 3.9193 3.9193 3.9193 Å, 60.00 60.00 60.00°
Atoms (fractional coordinates):
Be1 0.0000 0.0000 0.0000
Be2 0.7500 0.7500 0.7500
Co1 0.2500 0.2500 0.2500
Os1 0.5000 0.5000 0.5000

Results
Total DFT energy (no corrections) ... -6.4424 eV per atom